# Nd2InNiO6

A relaxed Nd2InNiO6 crystal (GGA+U, Alexandria via LeMat-Bulk).

a = 5.5424 Å, b = 5.7802 Å, c = 8.1083 Å
α = 90.00°, β = 88.74°, γ = 90.00°
With the nearest neighbours (Å) after each atom.
Positions (direct):
Nd (0.0179, 0.9393, 0.2516)  6 O 2.34-2.61
Nd (0.5179, 0.5607, 0.7516)  6 O 2.34-2.61
Nd (0.9821, 0.0607, 0.7484)  6 O 2.34-2.61
Nd (0.4821, 0.4393, 0.2484)  6 O 2.34-2.61
In (0.5000, 0.0000, 0.5000)  6 O 2.16-2.20
In (0.0000, 0.5000, 0.0000)  6 O 2.16-2.20
Ni (0.5000, 0.0000, 0.0000)  6 O 1.99-2.09
Ni (0.0000, 0.5000, 0.5000)  6 O 1.99-2.09
O (0.3134, 0.7112, 0.0589)  1 Ni 2.02, 1 In 2.18
O (0.8134, 0.7888, 0.5589)  1 Ni 2.02, 1 In 2.18
O (0.6866, 0.2888, 0.9411)  1 Ni 2.02, 1 In 2.18
O (0.1866, 0.2112, 0.4411)  1 Ni 2.02, 1 In 2.18
O (0.2879, 0.6909, 0.4422)  1 Ni 1.99, 1 In 2.20
O (0.7879, 0.8091, 0.9422)  1 Ni 1.99, 1 In 2.20
O (0.7121, 0.3091, 0.5578)  1 Ni 1.99, 1 In 2.20
O (0.2121, 0.1909, 0.0578)  1 Ni 1.99, 1 In 2.20
O (0.8899, 0.5398, 0.2561)  1 Ni 2.09, 1 In 2.16, 1 Nd 2.34
O (0.3899, 0.9602, 0.7561)  1 Ni 2.09, 1 In 2.16, 1 Nd 2.34
O (0.1101, 0.4602, 0.7439)  1 Ni 2.09, 1 In 2.16, 1 Nd 2.34
O (0.6101, 0.0398, 0.2439)  1 Ni 2.09, 1 In 2.16, 1 Nd 2.34

Output
Space group: No. 14
VASP energy in eV/atom: -6.664